[1]
La2CrCl | PBE | relaxed

E ... -69.22 eV per cell
Offset from the most stable computed form ... 0.016 eV/atom
Energy relative to the elements, uncorrected ... -437 meV per atom

Cell: 4.0050 4.0050 24.5763 Å, 90.00 90.00 120.00°
Last column: nearest neighbours and their distance in Å.
Fractional positions:
La (0.0000, 0.0000, 0.2452)  3 Cr 3.01, 3 Cl 3.17
La (0.0000, 0.0000, 0.7548)  3 Cr 3.01, 3 Cl 3.17
La (0.3333, 0.6667, 0.4214)  3 Cr 3.01, 3 Cl 3.17
La (0.3333, 0.6667, 0.9119)  3 Cr 3.01, 3 Cl 3.17
La (0.6667, 0.3333, 0.0881)  3 Cr 3.01, 3 Cl 3.17
La (0.6667, 0.3333, 0.5786)  3 Cr 3.01, 3 Cl 3.17
Cr (0.0000, 0.0000, 0.5000)  6 La 3.01
Cr (0.3333, 0.6667, 0.1667)  6 La 3.01
Cr (0.6667, 0.3333, 0.8333)  6 La 3.01
Cl (0.0000, 0.0000, 0.0000)  6 La 3.17
Cl (0.3333, 0.6667, 0.6667)  6 La 3.17
Cl (0.6667, 0.3333, 0.3333)  6 La 3.17

[2]
AcTePdO5 | PBE | relaxed

E ... -98.82 eV per cell
Energy relative to the elements, uncorrected ... -1522 meV per atom

Cell: 6.1891 6.1891 7.4121 Å, 106.16 106.16 95.64°
Last column: nearest neighbours and their distance in Å.
Fractional positions:
Ac (0.1481, 0.8519, 0.7500)  7 O 2.54-2.78
Ac (0.8519, 0.1481, 0.2500)  7 O 2.54-2.78
Te (0.2474, 0.7526, 0.2500)  4 O 1.91-2.09
Te (0.7526, 0.2474, 0.7500)  4 O 1.91-2.09
Pd (0.5000, 0.5000, 0.0000)  4 O 1.98-2.12
Pd (0.5000, 0.5000, 0.5000)  4 O 1.98-2.12
O (0.0076, 0.2161, 0.9494)  1 Te 1.91
O (0.1524, 0.5291, 0.3927)  1 Te 2.09, 1 Pd 2.12
O (0.2161, 0.0076, 0.4494)  1 Te 1.91
O (0.4246, 0.5754, 0.7500)  2 Pd 1.98
O (0.4709, 0.8476, 0.1073)  1 Te 2.09, 1 Pd 2.12
O (0.5291, 0.1524, 0.8927)  1 Te 2.09, 1 Pd 2.12
O (0.5754, 0.4246, 0.2500)  2 Pd 1.98
O (0.7839, 0.9924, 0.5506)  1 Te 1.91
O (0.8476, 0.4709, 0.6073)  1 Te 2.09, 1 Pd 2.12
O (0.9924, 0.7839, 0.0506)  1 Te 1.91

[3]
MnFe2Ni | PBE | relaxed

E ... -63.07 eV per cell
ΔH_f (0 K) ... 0.08 eV/atom

Cell: 2.8314 3.9769 7.9872 Å, 90.00 90.00 90.00°
Last column: nearest neighbours and their distance in Å.
Fractional positions:
Mn (0.0000, 0.0000, 0.0000)  4 Mn 2.44, 4 Fe 2.45
Mn (0.5000, 0.5000, 0.0000)  4 Mn 2.44, 4 Fe 2.45
Fe (0.0000, 0.5000, 0.2501)  4 Fe 2.44, 2 Ni 2.45, 2 Mn 2.45
Fe (0.0000, 0.5000, 0.7499)  4 Fe 2.44, 2 Ni 2.45, 2 Mn 2.45
Fe (0.5000, 0.0000, 0.2501)  4 Fe 2.44, 2 Ni 2.45, 2 Mn 2.45
Fe (0.5000, 0.0000, 0.7499)  4 Fe 2.44, 2 Ni 2.45, 2 Mn 2.45
Ni (0.0000, 0.0000, 0.5000)  4 Ni 2.44, 4 Fe 2.45
Ni (0.5000, 0.5000, 0.5000)  4 Ni 2.44, 4 Fe 2.45

[4]
Al2CdMo | PBE | relaxed

E ... -37.93 eV per cell
ΔH_f (0 K) ... 0.07 eV/atom

Cell: 9.9601 2.8038 4.8983 Å, 90.00 96.94 90.00°
Last column: nearest neighbours and their distance in Å.
Fractional positions:
Al (0.0000, 0.0000, 0.0000)  4 Cd 2.78-2.88, 5 Al 2.80-3.10, 3 Mo 2.81-2.92
Al (0.2424, 0.0000, 0.7164)  3 Cd 2.77-3.04, 4 Mo 2.77-2.87, 3 Al 2.80-2.93
Al (0.5000, 0.5000, 0.0000)  4 Cd 2.78-2.88, 5 Al 2.80-3.10, 3 Mo 2.81-2.92
Al (0.7424, 0.5000, 0.7164)  3 Cd 2.77-3.04, 4 Mo 2.77-2.87, 3 Al 2.80-2.93
Cd (0.4822, 0.0000, 0.4844)  7 Al 2.77-3.04, 2 Cd 2.80, 3 Mo 3.01-3.02
Cd (0.9822, 0.5000, 0.4844)  7 Al 2.77-3.04, 2 Cd 2.80, 3 Mo 3.01-3.02
Mo (0.2356, 0.5000, 0.2028)  7 Al 2.77-2.92, 2 Mo 2.80, 3 Cd 3.01-3.02
Mo (0.7356, 0.0000, 0.2028)  7 Al 2.77-2.92, 2 Mo 2.80, 3 Cd 3.01-3.02

[5]
CsCd6Au8 | PBE | relaxed

E ... -33.61 eV per cell
ΔH_f (0 K) ... -0.07 eV/atom

Cell: 7.2560 7.2560 7.2560 Å, 73.22 73.22 73.22°
Last column: nearest neighbours and their distance in Å.
Fractional positions:
Cs (0.0000, 0.0000, 0.0000)  8 Au 3.53-3.55, 6 Cd 3.60
Cd (0.1758, 0.3665, 0.5822)  5 Au 2.80-2.98, 3 Cd 3.04-3.05
Cd (0.3665, 0.5822, 0.1758)  5 Au 2.80-2.98, 3 Cd 3.04-3.05
Cd (0.4178, 0.8242, 0.6335)  5 Au 2.80-2.98, 3 Cd 3.04-3.05
Cd (0.5822, 0.1758, 0.3665)  5 Au 2.80-2.98, 3 Cd 3.04-3.05
Cd (0.6335, 0.4178, 0.8242)  5 Au 2.80-2.98, 3 Cd 3.04-3.05
Cd (0.8242, 0.6335, 0.4178)  5 Au 2.80-2.98, 3 Cd 3.04-3.05
Au (0.1197, 0.8045, 0.4702)  4 Cd 2.80-2.98, 2 Au 2.83-2.95
Au (0.1955, 0.5298, 0.8803)  4 Cd 2.80-2.98, 2 Au 2.83-2.95
Au (0.2239, 0.2239, 0.2239)  3 Au 2.83, 3 Cd 2.96
Au (0.4702, 0.1197, 0.8045)  4 Cd 2.80-2.98, 2 Au 2.83-2.95
Au (0.5298, 0.8803, 0.1955)  4 Cd 2.80-2.98, 2 Au 2.83-2.95
Au (0.7761, 0.7761, 0.7761)  3 Au 2.83, 3 Cd 2.96
Au (0.8045, 0.4702, 0.1197)  4 Cd 2.80-2.98, 2 Au 2.83-2.95
Au (0.8803, 0.1955, 0.5298)  4 Cd 2.80-2.98, 2 Au 2.83-2.95

[6]
AcZn4CuAu2 | PBE | relaxed

E ... -22.19 eV per cell
ΔH_f (0 K) ... -0.29 eV/atom

Cell: 9.5292 9.5292 9.5292 Å, 26.74 26.74 26.74°
Last column: nearest neighbours and their distance in Å.
Fractional positions:
Ac (0.0000, 0.0000, 0.0000)  6 Zn 3.27, 6 Au 3.64
Zn (0.1372, 0.1372, 0.1372)  3 Cu 2.67, 4 Au 2.80
Zn (0.4079, 0.4079, 0.4079)  1 Cu 2.54, 3 Au 2.60
Zn (0.5921, 0.5921, 0.5921)  1 Cu 2.54, 3 Au 2.60
Zn (0.8628, 0.8628, 0.8628)  3 Cu 2.67, 4 Au 2.80
Cu (0.5000, 0.5000, 0.5000)  8 Zn 2.54-2.67
Au (0.2389, 0.2389, 0.2389)  7 Zn 2.60-2.80
Au (0.7611, 0.7611, 0.7611)  7 Zn 2.60-2.80

[7]
SrS2O2 | PBE | relaxed

E ... -46.25 eV per cell
Offset from the most stable computed form ... 0.000 eV/atom
Energy relative to the elements, uncorrected ... -655 meV per atom

Cell: 7.0491 7.0491 3.7689 Å, 90.00 90.00 90.00°
Last column: nearest neighbours and their distance in Å.
Fractional positions:
Sr (0.0000, 0.0000, 0.0000)  4 S 2.86
Sr (0.5000, 0.5000, 0.0000)  4 S 2.86
S (0.1100, 0.3900, 0.0000)  2 O 1.94
S (0.3900, 0.8900, 0.0000)  2 O 1.94
S (0.6100, 0.1100, 0.0000)  2 O 1.94
S (0.8900, 0.6100, 0.0000)  2 O 1.94
O (0.1562, 0.3438, 0.5000)  2 S 1.94
O (0.3438, 0.8438, 0.5000)  2 S 1.94
O (0.6562, 0.1562, 0.5000)  2 S 1.94
O (0.8438, 0.6562, 0.5000)  2 S 1.94

[8]
Sm12DyY6 | PBE | relaxed

E ... -97.30 eV per cell
ΔH_f (0 K) ... 0.14 eV/atom
Offset from the most stable computed form ... 0.000 eV/atom

Cell: 8.6437 8.6437 8.6437 Å, 89.12 89.12 89.12°
Last column: nearest neighbours and their distance in Å.
Fractional positions:
Sm (0.0165, 0.1993, 0.3590)  4 Sm 3.44-3.62, 4 Y 3.54-3.73, 1 Dy 3.58
Sm (0.1993, 0.3590, 0.0165)  4 Sm 3.44-3.62, 4 Y 3.54-3.73, 1 Dy 3.58
Sm (0.2223, 0.4616, 0.5664)  6 Sm 3.31-3.71, 3 Y 3.35-3.49
Sm (0.3590, 0.0165, 0.1993)  4 Sm 3.44-3.62, 4 Y 3.54-3.73, 1 Dy 3.58
Sm (0.4336, 0.7777, 0.5384)  6 Sm 3.31-3.71, 3 Y 3.35-3.49
Sm (0.4616, 0.5664, 0.2223)  6 Sm 3.31-3.71, 3 Y 3.35-3.49
Sm (0.5384, 0.4336, 0.7777)  6 Sm 3.31-3.71, 3 Y 3.35-3.49
Sm (0.5664, 0.2223, 0.4616)  6 Sm 3.31-3.71, 3 Y 3.35-3.49
Sm (0.6410, 0.9835, 0.8007)  4 Sm 3.44-3.62, 4 Y 3.54-3.73, 1 Dy 3.58
Sm (0.7777, 0.5384, 0.4336)  6 Sm 3.31-3.71, 3 Y 3.35-3.49
Sm (0.8007, 0.6410, 0.9835)  4 Sm 3.44-3.62, 4 Y 3.54-3.73, 1 Dy 3.58
Sm (0.9835, 0.8007, 0.6410)  4 Sm 3.44-3.62, 4 Y 3.54-3.73, 1 Dy 3.58
Dy (0.0000, 0.0000, 0.0000)  6 Y 3.52, 6 Sm 3.58
Y (0.0970, 0.6982, 0.2607)  7 Sm 3.35-3.73, 1 Dy 3.52, 2 Y 3.56
Y (0.2607, 0.0970, 0.6982)  7 Sm 3.35-3.73, 1 Dy 3.52, 2 Y 3.56
Y (0.3018, 0.7393, 0.9030)  7 Sm 3.35-3.73, 1 Dy 3.52, 2 Y 3.56
Y (0.6982, 0.2607, 0.0970)  7 Sm 3.35-3.73, 1 Dy 3.52, 2 Y 3.56
Y (0.7393, 0.9030, 0.3018)  7 Sm 3.35-3.73, 1 Dy 3.52, 2 Y 3.56
Y (0.9030, 0.3018, 0.7393)  7 Sm 3.35-3.73, 1 Dy 3.52, 2 Y 3.56

[9]
MgTa2Se | PBE | relaxed

E ... -54.88 eV per cell
Offset from the most stable computed form ... 0.350 eV/atom
Energy relative to the elements, uncorrected ... 336 meV per atom

Cell: 5.7450 8.0877 3.1028 Å, 90.00 90.00 90.00°
Last column: nearest neighbours and their distance in Å.
Fractional positions:
Mg (0.0000, 0.0000, 0.0000)  2 Se 2.87, 8 Ta 2.93, 2 Mg 3.10
Mg (0.5000, 0.5000, 0.0000)  2 Se 2.87, 8 Ta 2.93, 2 Mg 3.10
Ta (0.2500, 0.2500, 0.5000)  4 Ta 2.87-3.10, 4 Se 2.93, 4 Mg 2.93
Ta (0.2500, 0.7500, 0.5000)  4 Ta 2.87-3.10, 4 Se 2.93, 4 Mg 2.93
Ta (0.7500, 0.2500, 0.5000)  4 Ta 2.87-3.10, 4 Se 2.93, 4 Mg 2.93
Ta (0.7500, 0.7500, 0.5000)  4 Ta 2.87-3.10, 4 Mg 2.93, 4 Se 2.93
Se (0.0000, 0.5000, 0.0000)  2 Mg 2.87, 8 Ta 2.93, 2 Se 3.10
Se (0.5000, 0.0000, 0.0000)  2 Mg 2.87, 8 Ta 2.93, 2 Se 3.10

[10]
Y2InSe | PBE | relaxed

E ... -45.63 eV per cell
Offset from the most stable computed form ... 0.222 eV/atom
Energy relative to the elements, uncorrected ... -915 meV per atom

Cell: 4.8666 3.7456 11.5448 Å, 90.00 90.00 90.00°
Last column: nearest neighbours and their distance in Å.
Fractional positions:
Y (0.0000, 0.0000, 0.0000)  3 In 3.03-3.32, 4 Se 3.08
Y (0.0000, 0.5000, 0.5000)  3 In 3.03-3.32, 4 Se 3.08
Y (0.5000, 0.0000, 0.2637)  1 Se 2.93, 4 In 3.08
Y (0.5000, 0.5000, 0.7637)  1 Se 2.93, 4 In 3.08
In (0.0000, 0.0000, 0.7379)  7 Y 3.03-3.32
In (0.0000, 0.5000, 0.2379)  7 Y 3.03-3.32
Se (0.5000, 0.0000, 0.5172)  5 Y 2.93-3.08
Se (0.5000, 0.5000, 0.0172)  5 Y 2.93-3.08

[11]
ErHf2Al | PBE | relaxed

E ... -28.49 eV per cell
ΔH_f (0 K) ... -0.07 eV/atom
Offset from the most stable computed form ... 0.067 eV/atom

Cell: 3.1633 3.1633 8.9200 Å, 90.00 90.00 90.00°
Last column: nearest neighbours and their distance in Å.
Fractional positions:
Er (0.0000, 0.0000, 0.0000)  4 Er 3.16, 8 Hf 3.36
Hf (0.5000, 0.5000, 0.2815)  4 Al 2.97, 4 Hf 3.16
Hf (0.5000, 0.5000, 0.7185)  4 Al 2.97, 4 Hf 3.16
Al (0.0000, 0.0000, 0.5000)  8 Hf 2.97, 4 Al 3.16

[12]
SrPbOF2 | PBE | relaxed

E ... -24.91 eV per cell
Energy relative to the elements, uncorrected ... -2164 meV per atom

Cell: 4.5111 4.5111 5.0507 Å, 90.00 90.00 90.00°
Last column: nearest neighbours and their distance in Å.
Fractional positions:
Sr (0.0000, 0.0000, 0.0000)  4 F 2.26, 2 O 2.53
Pb (0.5000, 0.5000, 0.5000)  4 O 3.19, 8 F 3.39
O (0.0000, 0.0000, 0.5000)  2 Sr 2.53
F (0.0000, 0.5000, 0.0000)  2 Sr 2.26
F (0.5000, 0.0000, 0.0000)  2 Sr 2.26

[13]
VIrBr3 | PBE | relaxed

E ... -19.73 eV per cell
Offset from the most stable computed form ... 0.000 eV/atom
Energy relative to the elements, uncorrected ... 654 meV per atom

Cell: 5.0873 5.0873 5.0873 Å, 90.00 90.00 90.00°
Last column: nearest neighbours and their distance in Å.
Fractional positions:
V (0.0000, 0.0000, 0.0000)  12 Br 3.60
Ir (0.5000, 0.5000, 0.5000)  6 Br 2.54
Br (0.0000, 0.5000, 0.5000)  2 Ir 2.54
Br (0.5000, 0.0000, 0.5000)  2 Ir 2.54
Br (0.5000, 0.5000, 0.0000)  2 Ir 2.54

[14]
Dy7PbSe5 | PBE | relaxed

E ... -144.31 eV per cell
Energy relative to the elements, uncorrected ... -1447 meV per atom

Cell: 6.9747 6.9747 24.2270 Å, 90.00 90.00 145.58°
Last column: nearest neighbours and their distance in Å.
Fractional positions:
Dy (0.0208, 0.9792, 0.7500)  2 Se 2.80, 2 Pb 3.10
Dy (0.1384, 0.8616, 0.0362)  6 Se 2.81-2.90
Dy (0.1384, 0.8616, 0.4638)  6 Se 2.81-2.90
Dy (0.3192, 0.6808, 0.6770)  3 Se 2.84-2.87, 2 Pb 3.18
Dy (0.3192, 0.6808, 0.8230)  3 Se 2.84-2.87, 2 Pb 3.18
Dy (0.4041, 0.5959, 0.1152)  5 Se 2.87-3.07
Dy (0.4041, 0.5959, 0.3848)  5 Se 2.87-3.07
Dy (0.5959, 0.4041, 0.6152)  5 Se 2.87-3.07
Dy (0.5959, 0.4041, 0.8848)  5 Se 2.87-3.07
Dy (0.6808, 0.3192, 0.1770)  3 Se 2.84-2.87, 2 Pb 3.18
Dy (0.6808, 0.3192, 0.3230)  3 Se 2.84-2.87, 2 Pb 3.18
Dy (0.8616, 0.1384, 0.5362)  6 Se 2.81-2.90
Dy (0.8616, 0.1384, 0.9638)  6 Se 2.81-2.90
Dy (0.9792, 0.0208, 0.2500)  2 Se 2.80, 2 Pb 3.10
Pb (0.3053, 0.6947, 0.2500)  6 Dy 3.10-3.18
Pb (0.6947, 0.3053, 0.7500)  6 Dy 3.10-3.18
Se (0.0464, 0.9536, 0.1404)  6 Dy 2.80-2.87
Se (0.0464, 0.9536, 0.3596)  6 Dy 2.80-2.87
Se (0.2258, 0.7742, 0.5714)  6 Dy 2.84-2.89
Se (0.2258, 0.7742, 0.9286)  6 Dy 2.84-2.89
Se (0.5000, 0.5000, 0.0000)  6 Dy 2.90-3.07
Se (0.5000, 0.5000, 0.5000)  6 Dy 2.90-3.07
Se (0.7742, 0.2258, 0.0714)  6 Dy 2.84-2.89
Se (0.7742, 0.2258, 0.4286)  6 Dy 2.84-2.89
Se (0.9536, 0.0464, 0.6404)  6 Dy 2.80-2.87
Se (0.9536, 0.0464, 0.8596)  6 Dy 2.80-2.87

[15]
RuSe | PBE | relaxed

E ... -24.49 eV per cell
Energy relative to the elements, uncorrected ... 258 meV per atom

Cell: 4.4307 3.0945 4.5268 Å, 90.00 90.00 90.00°
Last column: nearest neighbours and their distance in Å.
Fractional positions:
Ru (0.2500, 0.0000, 0.2166)  8 Se 2.63-2.86
Ru (0.7500, 0.0000, 0.7834)  8 Se 2.63-2.86
Se (0.2500, 0.5000, 0.7472)  8 Ru 2.63-2.86
Se (0.7500, 0.5000, 0.2528)  8 Ru 2.63-2.86

[16]
NdPuHg5 | PBE | relaxed

E ... -21.68 eV per cell
ΔH_f (0 K) ... -0.15 eV/atom

Cell: 4.3726 4.9913 8.9277 Å, 90.00 90.00 90.00°
Last column: nearest neighbours and their distance in Å.
Fractional positions:
Nd (0.0000, 0.0000, 0.0000)  12 Hg 3.31-3.33
Pu (0.5000, 0.5000, 0.5000)  8 Hg 3.15-3.18
Hg (0.0000, 0.5000, 0.2467)  6 Hg 3.10-3.33, 2 Pu 3.15, 2 Nd 3.33
Hg (0.0000, 0.5000, 0.7533)  6 Hg 3.10-3.33, 2 Pu 3.15, 2 Nd 3.33
Hg (0.5000, 0.0000, 0.2786)  2 Pu 3.18, 2 Nd 3.31, 6 Hg 3.33-3.52
Hg (0.5000, 0.0000, 0.7214)  2 Pu 3.18, 2 Nd 3.31, 6 Hg 3.33-3.52
Hg (0.5000, 0.5000, 0.0000)  4 Hg 3.10, 4 Nd 3.32